SiIF2, single point on PBEsol structure, DFT SCAN; DOS(E_F) = 0.26 states/eV/atom; SG = Fd-3m; uncorrected formation energy = -1149 meV/atom
1.0
6.136 0.000 0.000
3.068 5.314 0.000
3.068 1.771 5.010
I Si F
2 2 4
direct
0.750 0.750 0.750 I
0.500 0.500 0.500 I
0.250 0.250 0.250 Si
0.000 0.000 0.000 Si
0.125 0.125 0.625 F
0.125 0.125 0.125 F
0.625 0.125 0.125 F
0.125 0.625 0.125 F


Na6MgS4O16, single point on PBEsol structure, DFT SCAN; DOS(E_F) = 0.00 states/eV/atom; SG = P2_1/c; uncorrected formation energy = -2098 meV/atom
1.0
8.175 0.000 -0.015
0.000 9.187 0.000
-3.917 0.000 9.006
Na Mg S O
12 2 8 32
direct
0.684 0.137 0.113 Na
0.911 0.151 0.551 Na
0.411 0.349 0.551 Na
0.089 0.849 0.449 Na
0.533 0.015 0.688 Na
0.184 0.363 0.113 Na
0.316 0.863 0.887 Na
0.467 0.985 0.312 Na
0.816 0.637 0.887 Na
0.033 0.485 0.688 Na
0.967 0.515 0.312 Na
0.589 0.651 0.449 Na
0.000 0.000 0.000 Mg
0.500 0.500 0.000 Mg
0.223 0.694 0.139 S
0.723 0.806 0.139 S
0.654 0.353 0.338 S
0.777 0.306 0.861 S
0.846 0.853 0.662 S
0.277 0.194 0.861 S
0.346 0.647 0.662 S
0.154 0.147 0.338 S
0.322 0.103 0.464 O
0.820 0.744 0.289 O
0.822 0.397 0.464 O
0.178 0.603 0.536 O
0.503 0.583 0.646 O
0.320 0.756 0.289 O
0.669 0.407 0.199 O
0.843 0.898 0.094 O
0.157 0.102 0.906 O
0.343 0.602 0.094 O
0.657 0.398 0.906 O
0.678 0.897 0.536 O
0.331 0.593 0.801 O
0.180 0.256 0.711 O
0.154 0.815 0.028 O
0.497 0.417 0.354 O
0.997 0.083 0.354 O
0.169 0.093 0.199 O
0.571 0.897 0.134 O
0.140 0.308 0.331 O
0.071 0.603 0.134 O
0.640 0.192 0.331 O
0.003 0.917 0.646 O
0.680 0.244 0.711 O
0.831 0.907 0.801 O
0.429 0.103 0.866 O
0.860 0.692 0.669 O
0.846 0.185 0.972 O
0.346 0.315 0.972 O
0.929 0.397 0.866 O
0.654 0.685 0.028 O
0.360 0.808 0.669 O


Y2MgCl, single point on PBEsol structure, DFT SCAN; DOS(E_F) = 0.73 states/eV/atom; SG = F-43m; uncorrected formation energy = 165 meV/atom
1.0
5.323 0.000 0.000
2.662 4.610 0.000
2.662 1.537 4.347
Cl Mg Y
1 1 2
direct
0.500 0.500 0.500 Cl
0.250 0.250 0.250 Mg
0.000 0.000 0.000 Y
0.750 0.750 0.750 Y


Number 2 is which compound? Na6MgS4O16


Copy entry 3 word for word.
Y2MgCl, single point on PBEsol structure, DFT SCAN; DOS(E_F) = 0.73 states/eV/atom; SG = F-43m; uncorrected formation energy = 165 meV/atom
1.0
5.323 0.000 0.000
2.662 4.610 0.000
2.662 1.537 4.347
Cl Mg Y
1 1 2
direct
0.500 0.500 0.500 Cl
0.250 0.250 0.250 Mg
0.000 0.000 0.000 Y
0.750 0.750 0.750 Y


Among the records above, which one has the lowest uncorrected formation energy? Na6MgS4O16